[1]
The following is a DFT calculation (PBE) of an optimized crystal structure of FeH2Ir2.

Energy above the lowest structure with this stoichiometry in eV/f.u.: 0.000
Magnetization in μB/f.u.: 3.9
Raw total energy in eV/atom: -6.376

Structure (POSCAR):
```
FeH2Ir2
1.0
2.8757 0.0000 0.0000
0.0000 2.8757 0.0000
0.0000 0.0000 11.7422
Fe H Ir
2 4 4
Cartesian
0.0000 0.0000 0.0000
1.4379 1.4379 5.8711
0.0000 1.4379 2.9356
0.0000 1.4379 8.8067
1.4379 0.0000 2.9356
1.4379 0.0000 8.8067
0.0000 0.0000 4.2075
0.0000 0.0000 7.5348
1.4379 1.4379 1.6637
1.4379 1.4379 10.0786
```


[2]
The following is a DFT calculation (PBE) of an optimized crystal structure of Ho4Th2Sc3.

Magnetization in μB/f.u.: 0.0
Raw total energy in eV/atom: -5.754

Structure (POSCAR):
```
Ho4Th2Sc3
1.0
7.3107 -2.4330 0.0000
7.3107 2.4330 0.0000
-2.4833 0.0000 7.3693
Ho Th Sc
4 2 3
Cartesian
-0.0511 0.0000 2.4648
2.3856 0.0000 4.9421
9.7525 0.0000 2.4272
12.1892 0.0000 4.9044
2.4121 0.0000 0.0040
9.7261 0.0000 7.3653
4.8901 0.0000 2.3684
7.3107 0.0000 0.0000
7.2480 0.0000 5.0009
```


[3]
The following is a DFT calculation (PBE) of an optimized crystal structure of Ti2VCr.

Energy above the lowest structure with this stoichiometry in eV/f.u.: 0.000
Magnetization in μB/f.u.: 1.0
Raw total energy in eV/atom: -8.544

Structure (POSCAR):
```
Ti2VCr
1.0
6.2039 0.0000 0.0000
0.0000 6.2039 0.0000
0.0000 0.0000 6.2039
Ti V Cr
8 4 4
Cartesian
1.5510 1.5510 1.5510
1.5510 1.5510 4.6529
1.5510 4.6529 1.5510
1.5510 4.6529 4.6529
4.6529 1.5510 1.5510
4.6529 1.5510 4.6529
4.6529 4.6529 1.5510
4.6529 4.6529 4.6529
0.0000 0.0000 0.0000
0.0000 3.1020 3.1020
3.1020 0.0000 3.1020
3.1020 3.1020 0.0000
0.0000 0.0000 3.1020
0.0000 3.1020 0.0000
3.1020 0.0000 0.0000
3.1020 3.1020 3.1020
```


[4]
The following is a DFT calculation (PBE) of an optimized crystal structure of AcLa3Hg4.

Magnetization in μB/f.u.: 1.5
Raw total energy in eV/atom: -3.005

Structure (POSCAR):
```
AcLa3Hg4
1.0
5.5598 0.0000 0.0000
0.0000 5.5598 0.0000
0.0000 0.0000 7.9401
Ac La Hg
1 3 4
Cartesian
0.0000 0.0000 0.0000
0.0000 0.0000 3.9701
2.7799 2.7799 0.0000
2.7799 2.7799 3.9701
0.0000 2.7799 2.0404
0.0000 2.7799 5.8997
2.7799 0.0000 2.0404
2.7799 0.0000 5.8997
```


[5]
The following is a DFT calculation (PBE) of an optimized crystal structure of RbBaCaBe2.

Magnetization in μB/f.u.: 0.0
Raw total energy in eV/atom: -1.029

Structure (POSCAR):
```
RbBaCaBe2
1.0
5.5764 0.0000 0.0000
0.0000 5.5764 0.0000
0.0000 0.0000 6.0509
Rb Ba Ca Be
1 1 1 2
Cartesian
0.0000 0.0000 0.0000
0.0000 0.0000 3.0255
2.7882 2.7882 3.0255
0.0000 2.7882 0.0000
2.7882 0.0000 0.0000
```


[6]
The following is a DFT calculation (PBE) of an optimized crystal structure of Cs2GeP.

Energy above the lowest structure with this stoichiometry in eV/f.u.: 3.006
Magnetization in μB/f.u.: 1.0
Raw total energy in eV/atom: -2.441

Structure (POSCAR):
```
Cs2GeP
1.0
8.6302 0.0000 0.0000
0.0000 8.6302 0.0000
0.0000 0.0000 8.6302
Cs Ge P
8 4 4
Cartesian
2.1576 2.1576 2.1576
2.1576 2.1576 6.4727
2.1576 6.4727 2.1576
2.1576 6.4727 6.4727
6.4727 2.1576 2.1576
6.4727 2.1576 6.4727
6.4727 6.4727 2.1576
6.4727 6.4727 6.4727
0.0000 0.0000 0.0000
0.0000 4.3151 4.3151
4.3151 0.0000 4.3151
4.3151 4.3151 0.0000
0.0000 0.0000 4.3151
0.0000 4.3151 0.0000
4.3151 0.0000 0.0000
4.3151 4.3151 4.3151
```


[7]
The following is a DFT calculation (PBE) of an optimized crystal structure of MgTeSeN2.

Energy above the lowest structure with this stoichiometry in eV/f.u.: 0.000
Magnetization in μB/f.u.: 0.0
ΔE_f (raw) in kJ/mol of atoms: 83.9
Raw total energy in eV/atom: -4.105

Structure (POSCAR):
```
MgTeSeN2
1.0
3.9749 0.0000 0.0000
0.0000 3.9749 0.0000
0.0000 0.0000 5.8533
Mg Te Se N
1 1 1 2
Cartesian
0.0000 0.0000 0.0000
1.9874 1.9874 2.9267
1.9874 1.9874 0.0000
0.0000 1.9874 2.9267
1.9874 0.0000 2.9267
```


[8]
The following is a DFT calculation (PBE) of an optimized crystal structure of Li2SiS3.

Magnetization in μB/f.u.: 0.0
ΔE_f (raw) in kJ/mol of atoms: -102.1
Raw total energy in eV/atom: -4.663

Structure (POSCAR):
```
Li2SiS3
1.0
5.8531 -3.4112 0.0000
5.8531 3.4112 0.0000
0.0000 0.0000 6.0010
Li Si S
4 2 6
Cartesian
1.9323 1.0513 0.0000
1.9323 -1.0513 3.0005
9.7740 1.0513 0.0000
9.7740 -1.0513 3.0005
5.8531 1.1194 5.9318
5.8531 -1.1194 2.9313
4.0811 2.0923 5.4160
7.6252 2.0923 5.4160
5.8531 0.9469 2.1656
5.8531 -0.9469 5.1661
4.0811 -2.0923 2.4155
7.6252 -2.0923 2.4155
```


[9]
The following is a DFT calculation (PBE) of an optimized crystal structure of Y2ZnTe2.

Energy above the lowest structure with this stoichiometry in eV/f.u.: 0.000
Magnetization in μB/f.u.: 0.1
ΔE_f (raw) in kJ/mol of atoms: -85.7
Raw total energy in eV/atom: -4.985

Structure (POSCAR):
```
Y2ZnTe2
1.0
8.2376 0.0000 0.0000
0.0000 8.2376 0.0000
0.0000 0.0000 4.0668
Y Zn Te
4 2 4
Cartesian
1.2585 2.8603 0.0000
2.8603 6.9792 0.0000
5.3773 1.2585 0.0000
6.9792 5.3773 0.0000
0.0000 0.0000 0.0000
4.1188 4.1188 0.0000
1.2313 5.3501 2.0334
2.8875 1.2313 2.0334
5.3501 7.0063 2.0334
7.0063 2.8875 2.0334
```


[10]
The following is a DFT calculation (PBE) of an optimized crystal structure of LaPaS2N.

Magnetization in μB/f.u.: 0.6
ΔE_f (raw) in kJ/mol of atoms: -186.1
Raw total energy in eV/atom: -8.130

Structure (POSCAR):
```
LaPaS2N
1.0
3.9306 0.0000 0.0000
0.0000 3.9306 0.0000
0.0000 0.0000 14.4526
La Pa S N
2 2 4 2
Cartesian
0.9827 0.9827 1.8027
2.9480 2.9480 12.6500
0.9827 0.9827 8.4134
2.9480 2.9480 6.0392
0.9827 0.9827 4.6249
0.9827 0.9827 13.1651
2.9480 2.9480 1.2875
2.9480 2.9480 9.8278
0.9827 2.9480 7.2263
2.9480 0.9827 7.2263
```


[11]
The following is a DFT calculation (PBE) of an optimized crystal structure of K3Te.

Energy above the lowest structure with this stoichiometry in eV/f.u.: 0.307
Magnetization in μB/f.u.: 0.0
ΔE_f (raw) in kJ/mol of atoms: -54.7
Raw total energy in eV/atom: -2.175

Structure (POSCAR):
```
K3Te
1.0
5.2306 0.0000 0.0000
0.0000 5.0986 0.0000
-1.2815 0.0000 7.6134
K Te
3 1
Cartesian
0.0000 0.0000 0.0000
1.1160 2.5493 5.2504
2.8331 2.5493 2.3631
-0.6408 0.0000 3.8067
```


[12]
The following is a DFT calculation (PBE) of an optimized crystal structure of Li2CuSi4Ir3.

Magnetization in μB/f.u.: 0.0
ΔE_f (raw) in kJ/mol of atoms: -49.6
Raw total energy in eV/atom: -6.134

Structure (POSCAR):
```
Li2CuSi4Ir3
1.0
3.8263 0.0000 0.0000
0.0000 3.8263 0.0000
0.0000 0.0000 10.5191
Li Cu Si Ir
2 1 4 3
Cartesian
0.0000 1.9132 2.5036
1.9132 0.0000 8.0155
1.9132 1.9132 0.0000
0.0000 0.0000 5.2595
0.0000 1.9132 9.0783
1.9132 0.0000 1.4408
1.9132 1.9132 5.2595
0.0000 0.0000 0.0000
0.0000 1.9132 6.7025
1.9132 0.0000 3.8166
```


[13]
The following is a DFT calculation (PBE) of an optimized crystal structure of TbPmHo4Se8.

Magnetization in μB/f.u.: 0.0
ΔE_f (raw) in kJ/mol of atoms: -165.0
Raw total energy in eV/atom: -5.680

Structure (POSCAR):
```
TbPmHo4Se8
1.0
4.2138 2.4328 6.8998
-4.2138 2.4328 6.8998
0.0000 -4.8656 6.8998
Tb Pm Ho Se
1 1 4 8
Cartesian
0.0000 0.0000 0.0000
0.0000 0.0000 7.7636
0.0000 2.4192 17.2682
2.0951 -1.2096 17.2682
-2.0951 -1.2096 17.2682
0.0000 0.0000 12.9574
-2.2147 -1.2787 12.0225
0.0000 0.0000 4.9624
0.0000 -2.6219 8.7279
-2.2706 1.3110 8.7279
2.2147 -1.2787 12.0225
0.0000 2.5573 12.0225
0.0000 0.0000 15.6902
2.2706 1.3110 8.7279
```


[14]
The following is a DFT calculation (PBE) of an optimized crystal structure of BaMg.

Magnetization in μB/f.u.: 0.3
Raw total energy in eV/atom: -1.293

Structure (POSCAR):
```
BaMg
1.0
10.5686 0.0000 0.0000
0.0000 10.5686 0.0000
0.0000 0.0000 10.5686
Ba Mg
8 8
Cartesian
2.1723 2.1723 8.3962
2.1723 8.3962 2.1723
3.1119 3.1119 3.1119
3.1119 7.4566 7.4566
7.4566 3.1119 7.4566
7.4566 7.4566 3.1119
8.3962 2.1723 2.1723
8.3962 8.3962 8.3962
1.0883 1.0883 1.0883
1.0883 9.4803 9.4803
4.1960 4.1960 6.3726
4.1960 6.3726 4.1960
6.3726 4.1960 4.1960
6.3726 6.3726 6.3726
9.4803 1.0883 9.4803
9.4803 9.4803 1.0883
```


[15]
The following is a DFT calculation (PBE) of an optimized crystal structure of LiP2Cl.

Energy above the lowest structure with this stoichiometry in eV/f.u.: 0.660
Magnetization in μB/f.u.: 0.0
ΔE_f (raw) in kJ/mol of atoms: -53.9
Raw total energy in eV/atom: -4.204

Structure (POSCAR):
```
LiP2Cl
1.0
3.3090 0.0000 0.0000
0.0000 3.3090 0.0000
0.0000 0.0000 8.7561
Li P Cl
1 2 1
Cartesian
0.0000 0.0000 0.0000
0.0000 1.6545 4.3781
1.6545 0.0000 4.3781
1.6545 1.6545 0.0000
```


[16]
The following is a DFT calculation (PBE) of an optimized crystal structure of NdDy6Y2Er3.

Magnetization in μB/f.u.: 0.0
Raw total energy in eV/atom: -4.897

Structure (POSCAR):
```
NdDy6Y2Er3
1.0
3.0747 -5.3189 0.0000
3.0747 5.3189 0.0000
-2.0341 0.0000 11.5921
Nd Dy Y Er
1 6 2 3
Cartesian
0.0000 0.0000 0.0000
1.0323 1.7727 2.9352
0.0084 0.0000 8.6590
1.0323 -1.7727 2.9352
3.0831 1.7727 8.6569
4.1069 0.0000 2.9331
3.0831 -1.7727 8.6569
3.0747 1.7731 0.0000
3.0747 -1.7731 0.0000
2.0577 3.5427 5.7961
2.0577 0.0000 5.7961
2.0577 -3.5427 5.7961
```


[17]
The following is a DFT calculation (PBE) of an optimized crystal structure of CaTb2Pu.

Energy above the lowest structure with this stoichiometry in eV/f.u.: 0.425
Magnetization in μB/f.u.: 5.9
Raw total energy in eV/atom: -6.154

Structure (POSCAR):
```
CaTb2Pu
1.0
3.4989 0.0000 0.0000
-1.7494 3.0301 0.0000
0.0000 0.0000 37.2885
Ca Tb Pu
3 6 3
Cartesian
0.0000 0.0000 0.0000
0.0000 2.0201 24.8590
1.7494 1.0100 12.4295
0.0000 0.0000 3.4339
0.0000 0.0000 33.8545
0.0000 2.0201 21.4251
0.0000 2.0201 28.2929
1.7494 1.0100 8.9956
1.7494 1.0100 15.8634
0.0000 0.0000 18.6442
0.0000 2.0201 6.2148
1.7494 1.0100 31.0737
```


[18]
The following is a DFT calculation (PBE) of an optimized crystal structure of Ta3BeNb.

Energy above the lowest structure with this stoichiometry in eV/f.u.: 0.000
Magnetization in μB/f.u.: 0.0
Raw total energy in eV/atom: -9.329

Structure (POSCAR):
```
Ta3BeNb
1.0
4.4463 0.0000 0.0000
0.0000 4.4463 0.0000
0.0000 0.0000 4.4463
Ta Be Nb
3 1 1
Cartesian
0.0000 0.0000 2.2231
0.0000 2.2231 0.0000
2.2231 0.0000 0.0000
0.0000 0.0000 0.0000
2.2231 2.2231 2.2231
```


[19]
The following is a DFT calculation (PBE) of an optimized crystal structure of Nd7Mg2Tl2.

Magnetization in μB/f.u.: 0.0
Raw total energy in eV/atom: -3.661

Structure (POSCAR):
```
Nd7Mg2Tl2
1.0
3.9068 -5.7626 0.0000
3.9068 5.7626 0.0000
0.0000 0.0000 8.4454
Nd Mg Tl
7 2 2
Cartesian
0.0000 0.0000 0.0000
1.9534 2.8813 2.4632
1.9534 2.8813 5.9823
1.9534 -2.8813 2.4632
1.9534 -2.8813 5.9823
3.9068 0.0000 2.1842
3.9068 0.0000 6.2612
1.3594 0.0000 4.2227
6.4542 0.0000 4.2227
3.9068 2.3991 0.0000
3.9068 -2.3991 0.0000
```


[20]
The following is a DFT calculation (PBE) of an optimized crystal structure of BaCaBiF.

Magnetization in μB/f.u.: 0.0
ΔE_f (raw) in kJ/mol of atoms: -189.2
Raw total energy in eV/atom: -4.380

Structure (POSCAR):
```
BaCaBiF
1.0
5.0111 0.0000 0.0000
0.0000 5.0111 0.0000
0.0000 0.0000 10.0149
Ba Ca Bi F
2 2 2 2
Cartesian
1.2528 1.2528 1.1542
3.7583 3.7583 8.8607
1.2528 3.7583 5.0074
3.7583 1.2528 5.0074
1.2528 1.2528 7.0044
3.7583 3.7583 3.0105
1.2528 3.7583 0.0000
3.7583 1.2528 0.0000
```


[21]
The following is a DFT calculation (PBE) of an optimized crystal structure of PrErCdNi.

Magnetization in μB/f.u.: 0.0
Raw total energy in eV/atom: -4.216

Structure (POSCAR):
```
PrErCdNi
1.0
7.2720 0.0000 0.0000
0.0000 7.2720 0.0000
0.0000 0.0000 7.2720
Pr Er Cd Ni
4 4 4 4
Cartesian
0.0000 0.0000 0.0000
0.0000 3.6360 3.6360
3.6360 0.0000 3.6360
3.6360 3.6360 0.0000
0.0000 0.0000 3.6360
0.0000 3.6360 0.0000
3.6360 0.0000 0.0000
3.6360 3.6360 3.6360
1.8180 1.8180 5.4540
1.8180 5.4540 1.8180
5.4540 1.8180 1.8180
5.4540 5.4540 5.4540
1.8180 1.8180 1.8180
1.8180 5.4540 5.4540
5.4540 1.8180 5.4540
5.4540 5.4540 1.8180
```


[22]
The following is a DFT calculation (PBE) of an optimized crystal structure of GaCo3H.

Energy above the lowest structure with this stoichiometry in eV/f.u.: 0.194
Magnetization in μB/f.u.: 3.7
Raw total energy in eV/atom: -5.605

Structure (POSCAR):
```
GaCo3H
1.0
6.4777 0.0000 0.0000
0.0000 4.5695 0.0000
-1.4015 0.0000 6.5280
Ga Co H
4 12 4
Cartesian
0.2405 0.4452 1.2527
-0.4603 1.8395 4.5167
5.5364 2.7299 2.0113
4.8356 4.1243 5.2753
1.0860 2.6753 0.4066
0.3853 4.1790 3.6706
0.7039 0.3478 6.1209
1.4047 1.9370 2.8569
1.7272 2.6901 5.3370
2.4280 4.1642 2.0730
2.6481 0.4053 4.4550
3.3489 1.8794 1.1910
3.6715 2.6325 3.6711
4.3722 4.2217 0.4071
4.6909 0.3905 2.8574
3.9901 1.8942 6.1214
2.7296 3.4147 0.4321
2.0288 3.4395 3.6961
3.0473 1.1300 2.8319
2.3466 1.1548 6.0959
```


[23]
The following is a DFT calculation (PBE) of an optimized crystal structure of Tb2PrNdTm.

Magnetization in μB/f.u.: 0.0
Raw total energy in eV/atom: -4.271

Structure (POSCAR):
```
Tb2PrNdTm
1.0
4.2307 -5.8091 0.0000
4.2307 5.8091 0.0000
0.0000 0.0000 7.1781
Tb Pr Nd Tm
4 2 2 2
Cartesian
1.5772 0.0000 0.0000
1.5772 0.0000 3.5890
6.8843 0.0000 0.0000
6.8843 0.0000 3.5890
4.2307 3.1234 5.3835
4.2307 -3.1234 1.7945
4.2307 -0.0032 1.7945
4.2307 0.0032 5.3835
4.2307 3.2412 1.7945
4.2307 -3.2412 5.3835
```


[24]
The following is a DFT calculation (PBE) of an optimized crystal structure of Li3Ni5.

Energy above the lowest structure with this stoichiometry in eV/f.u.: 0.000
Magnetization in μB/f.u.: 1.3
Raw total energy in eV/atom: -4.333

Structure (POSCAR):
```
Li3Ni5
1.0
5.2207 0.0000 0.0000
0.0000 8.2541 0.0000
0.0000 0.0000 4.1070
Li Ni
6 10
Cartesian
0.0000 0.0000 0.0000
1.2932 0.0000 2.0535
1.3171 4.1271 2.0535
2.6103 4.1271 0.0000
3.9036 4.1271 2.0535
3.9275 0.0000 2.0535
0.0000 2.1411 2.0535
0.0000 4.1271 0.0000
0.0000 6.1130 2.0535
1.3052 2.0635 0.0000
1.3052 6.1906 0.0000
2.6103 0.0000 0.0000
2.6103 1.9860 2.0535
2.6103 6.2681 2.0535
3.9155 2.0635 0.0000
3.9155 6.1906 0.0000
```